Here is an optimized crystal structure of TmNiRu from the Alexandria database. Energies are from PBE-GGA.

Output
Its space-group type is P-62m, No. 189. Its size of the total moment is 0.00 μB per cell. The formation energy is -0.2719 eV per atom. As for the density of states at the Fermi level: 3.7 states/eV/f.u. The value obtained for the polymorph energy (0 for the lowest one) is 0.49 eV/f.u. As for the volume: 151.2 Å³/cell. The total energy comes out at -6.7815 eV/atom.

a b c (Å): 6.705 6.705 3.885
angles (deg): 90.00 90.00 120.00
Fractional coordinates of all 9 atoms:
Tm: 0.000 0.605 0.000
Tm: 0.395 0.395 0.000
Tm: 0.605 0.000 0.000
Ni: 0.000 0.000 0.000
Ni: 0.333 0.667 0.500
Ni: 0.667 0.333 0.500
Ru: 0.000 0.251 0.500
Ru: 0.251 0.000 0.500
Ru: 0.749 0.749 0.500